No. 1
A relaxed structure of YZr2In, computed with PBE.

Structure (POSCAR):
```
YZr2In
1.0
4.572 0.000 0.000
0.000 4.572 0.000
0.000 0.000 4.613
Y Zr In
1 2 1
direct
0.000 0.000 0.000 Y
0.000 0.500 0.500 Zr
0.500 0.000 0.500 Zr
0.500 0.500 0.000 In
```

Calculated values
The calculation puts the magnetic moment at 0.00 μB per cell. As for the offset from the most stable computed form: 54 meV per atom.

No. 2
A relaxed structure of YZr2In, computed with PBE.

Structure (POSCAR):
```
YZr2In
1.0
3.296 0.000 0.000
-1.648 2.854 0.000
0.000 0.000 31.907
Y Zr In
3 6 3
direct
0.000 0.000 0.000 Y
0.333 0.667 0.667 Y
0.667 0.333 0.333 Y
0.000 0.000 0.247 Zr
0.000 0.000 0.753 Zr
0.333 0.667 0.420 Zr
0.333 0.667 0.914 Zr
0.667 0.333 0.086 Zr
0.667 0.333 0.580 Zr
0.000 0.000 0.500 In
0.333 0.667 0.167 In
0.667 0.333 0.833 In
```

Calculated values
The calculation puts the magnetic moment at 0.00 μB per cell. As for the offset from the most stable computed form: 234 meV per atom.

For the records above, the corresponding energy of formation values read -0.182, -0.002 eV per atom.